No. 1
# GGA-PBE ZnIn4, optimized geometry
data_ZnIn4
_chemical_formula_sum 'Zn2 In8'
_symmetry_space_group_name_H-M 'I 4/m'
_symmetry_Int_Tables_number 87
_symmetry_space_group_name_Hall '-I 4'
_cell_length_a 7.423
_cell_length_b 7.423
_cell_length_c 4.534
_cell_angle_alpha 90.00
_cell_angle_beta 90.00
_cell_angle_gamma 90.00
loop_
_atom_site_label
_atom_site_type_symbol
_atom_site_fract_x
_atom_site_fract_y
_atom_site_fract_z
_atom_site_occupancy
Zn1 Zn 0.000 0.000 0.000 1
In1 In 0.101 0.293 0.500 1
# **ΔH_f (0 K)**: 0.073 eV/atom
# **Distance to the lowest polymorph of the same formula**: 23 meV/atom
# **Electronic total energy**: -23.72 eV/cell

No. 2
# GGA-PBE ZnIn, optimized geometry
data_ZnIn
_chemical_formula_sum 'Zn6 In6'
_symmetry_space_group_name_H-M 'P -3 m 1'
_symmetry_Int_Tables_number 164
_symmetry_space_group_name_Hall '-P 3 2"'
_cell_length_a 4.4394
_cell_length_b 4.4394
_cell_length_c 16.5257
_cell_angle_alpha 90.00
_cell_angle_beta 90.00
_cell_angle_gamma 120.00
loop_
_atom_site_label
_atom_site_type_symbol
_atom_site_fract_x
_atom_site_fract_y
_atom_site_fract_z
_atom_site_occupancy
Zn1 Zn 0.0000 0.0000 0.1336 1
Zn2 Zn 0.3333 0.6667 0.2144 1
Zn3 Zn 0.3333 0.6667 0.3734 1
In1 In 0.0000 0.0000 0.3018 1
In2 In 0.3333 0.6667 0.0490 1
In3 In 0.3333 0.6667 0.5574 1
# **ΔH_f (0 K)**: 0.123 eV/atom
# **Electronic total energy**: -22.60 eV/cell